This record from Alexandria describes NaSr4Sb3O12 after structural relaxation. The functional is PBE.

Cell lengths 8.224, 8.224, 8.224 Å; angles 90.00, 90.00, 90.00 degrees
Space group Im-3m (No. 229)
Inequivalent atoms, fractional coordinates:
Na: 0.000 0.000 0.000 (multiplicity 2)
Sr: 0.250 0.250 0.250 (multiplicity 8)
Sb: 0.000 0.000 0.500 (multiplicity 6)
O: 0.000 0.000 0.268 (multiplicity 12)
O: 0.000 0.250 0.500 (multiplicity 12)

Energy above the lowest structure with this stoichiometry in meV per atom: 40
E_tot in eV per atom: -6.106
D(E_F) in states/eV/atom: 0.00
Energy relative to the elements, uncorrected in eV per formula unit: -42.2

This record from Alexandria describes TaRe2Tc after structural relaxation. The functional is PBE.

Cell lengths 2.774, 3.987, 5.710 Å; angles 90.00, 90.00, 90.00 degrees
Space group Pmmm (No. 47)
Inequivalent atoms, fractional coordinates:
Ta: 0.000 0.000 0.000 (multiplicity 1)
Re: 0.500 0.500 0.267 (multiplicity 2)
Tc: 0.000 0.000 0.500 (multiplicity 1)

Energy above the lowest structure with this stoichiometry in meV per atom: 153
E_tot in eV per atom: -11.696
D(E_F) in states/eV/atom: 1.14
E_form in eV per formula unit: 0.33

This record from Alexandria describes AcN2 after structural relaxation. The functional is PBE.

Cell lengths 6.962, 4.254, 6.770 Å; angles 90.00, 103.63, 90.00 degrees
Space group C2/c (No. 15)
Inequivalent atoms, fractional coordinates:
Ac: 0.000 0.210 0.250 (multiplicity 4)
N: 0.198 0.365 0.948 (multiplicity 8)

Energy above the lowest structure with this stoichiometry in meV per atom: 0
E_tot in eV per atom: -7.701
D(E_F) in states/eV/atom: 0.60
Energy relative to the elements, uncorrected in eV per formula unit: -2.3

Question: Which of these has the highest energy above the lowest structure with this stoichiometry?
Answer: TaRe2Tc